Below is crystalline ErAgGeTeS2 at its relaxed geometry, with properties calculated at the GGA-PBE level.

Cell lengths 6.911, 6.911, 11.164 Å; angles 90.00, 90.00, 146.96 degrees
Atoms (fractional coordinates):
1 Er 0.000 0.000 0.000
2 Er 0.000 0.000 0.500
3 Ag 0.477 0.523 0.750
4 Ag 0.523 0.477 0.250
5 Ge 0.206 0.794 0.250
6 Ge 0.794 0.206 0.750
7 Te 0.130 0.870 0.750
8 Te 0.870 0.130 0.250
9 S 0.369 0.631 0.567
10 S 0.369 0.631 0.933
11 S 0.631 0.369 0.067
12 S 0.631 0.369 0.433

Calculated values
Calculated total energy: -4.61 eV per atom
Magnetization: 0.0 μB per cell